Entry from Alexandria: a relaxed structure of Ac2HfGe2N6 (PBE).

Calculated values
The magnetic moment is 0.000 μB/cell. The uncorrected formation energy comes out at -0.734 eV per atom.

abc: 5.8966 5.8966 17.1044
angles: 90.00 90.00 120.00
Space group R-3m (No. 166, hexagonal axes)
Asymmetric unit:
Ac 0.0000 0.0000 0.2107
Hf 0.0000 0.0000 0.0000
Ge 0.0000 0.0000 0.4151
N 0.0146 0.5073 0.7515